No. 1
KYSi2 | PBE | relaxed

Size of the total moment, Bohr magnetons per cell: 0.00
E above lowest polymorph, eV/atom: 0.228
Formation energy without anion corrections, eV per atom: -0.02
Uncorrected energy, eV for the cell shown: -18.5

abc: 3.256 3.256 9.190
angles: 90.00 90.00 90.00
Positions (direct):
Si1 0.000 0.000 0.469
Y1 0.500 0.500 0.250
K1 0.500 0.500 0.750
Si2 0.000 0.000 0.031

***

No. 2
AsIrOs2 | PBE | relaxed

Size of the total moment, Bohr magnetons per cell: 0.01
Uncorrected energy, eV for the cell shown: -33.6
ΔE_f, eV per formula unit: 2.37

abc: 3.922 3.881 3.881
angles: 90.00 90.00 90.00
Positions (direct):
Os1 0.000 0.500 0.500
As1 0.500 0.500 0.000
Ir1 0.500 0.000 0.500
Os2 0.000 0.000 0.000